TmTlI (PBE, optimized geometry); formation energy from raw total energies = -637 meV per atom; energy relative to the lowest polymorph listed for this composition = 0 meV/atom
1.0
3.8567 0.0000 0.0000
0.0001 4.7108 0.0000
0.0514 0.0549 12.4431
Tm Tl I
2 2 2
direct
0.0021 0.2520 0.3407
0.9979 0.7480 0.6593
0.4985 0.2489 0.5812
0.5015 0.7511 0.4188
0.4957 0.7467 0.8434
0.5043 0.2533 0.1566

***

Li2PmAg10 (PBE, optimized geometry); formation energy = -0.10 eV/atom
1.0
0.0000 6.6976 6.7649
2.6877 0.0000 6.7649
2.6877 6.6976 0.0000
Li Pm Ag
2 1 10
direct
0.0000 0.5000 0.0000
0.5000 0.0000 0.5000
0.0000 0.0000 0.0000
0.0000 0.0000 0.5000
0.0067 0.3495 0.6505
0.2820 0.4910 0.5090
0.3495 0.0067 0.9933
0.4910 0.2820 0.7180
0.5000 0.5000 0.0000
0.5090 0.7180 0.2820
0.6505 0.9933 0.0067
0.7180 0.5090 0.4910
0.9933 0.6505 0.3495

***

LaCrI2 (PBE, optimized geometry); formation energy from raw total energies = -62 meV per atom; energy relative to the lowest polymorph listed for this composition = 0 meV/atom
1.0
-3.5515 3.5515 6.3116
3.5515 -3.5515 6.3116
3.5515 3.5515 -6.3116
La Cr I
2 2 4
direct
0.0000 0.0000 0.0000
0.7500 0.2500 0.5000
0.2500 0.7500 0.5000
0.5000 0.5000 0.0000
0.1836 0.6250 0.0586
0.3750 0.4336 0.5586
0.5664 0.1250 0.9414
0.8750 0.8164 0.4414

***

ZrZnSbW2 (PBE, optimized geometry); formation energy from raw total energies = 1309 meV per atom
1.0
4.6332 0.0000 0.0000
0.0000 4.6332 0.0000
0.0000 0.0000 4.8805
Zr Zn Sb W
1 1 1 2
direct
0.0000 0.0000 0.0000
0.0000 0.0000 0.5000
0.5000 0.5000 0.0000
0.0000 0.5000 0.5000
0.5000 0.0000 0.5000

***

Na2Tl2Pb5 (PBE, optimized geometry); formation energy = -0.07 eV/atom
1.0
5.5024 -2.5262 0.0000
5.5024 2.5262 0.0000
-3.1116 0.0000 9.8309
Na Tl Pb
2 2 5
direct
0.1670 0.1670 0.0626
0.8330 0.8330 0.9374
0.1673 0.1673 0.3900
0.8327 0.8327 0.6100
0.1615 0.1615 0.7290
0.5004 0.5004 0.1681
0.5000 0.5000 0.5000
0.4996 0.4996 0.8319
0.8385 0.8385 0.2710

***

Sr2As3Pd2 (PBE, optimized geometry); formation energy = -0.78 eV/atom
1.0
2.2840 -9.6689 0.0000
2.2840 9.6689 0.0000
0.0000 0.0000 7.0833
Sr As Pd
4 6 4
direct
0.0549 0.9451 0.7500
0.1546 0.8454 0.2500
0.8454 0.1546 0.7500
0.9451 0.0549 0.2500
0.2231 0.7769 0.7500
0.4316 0.5684 0.5589
0.4316 0.5684 0.9411
0.5684 0.4316 0.0589
0.5684 0.4316 0.4411
0.7769 0.2231 0.2500
0.3012 0.6988 0.0490
0.3012 0.6988 0.4510
0.6988 0.3012 0.5490
0.6988 0.3012 0.9510

***

LiTiTe3 (PBE, optimized geometry); formation energy from raw total energies = 315 meV per atom; energy relative to the lowest polymorph listed for this composition = 909 meV/atom
1.0
5.0710 0.0000 0.0000
0.0000 5.0710 0.0000
0.0000 0.0000 5.0710
Li Ti Te
1 1 3
direct
0.0000 0.0000 0.0000
0.5000 0.5000 0.5000
0.0000 0.0000 0.5000
0.0000 0.5000 0.0000
0.5000 0.0000 0.0000

***

Tl2ReCl (PBE, optimized geometry); formation energy from raw total energies = 509 meV per atom; energy relative to the lowest polymorph listed for this composition = 30 meV/atom
1.0
1.6500 0.9526 10.2454
-1.6500 0.9526 10.2454
0.0000 -1.9052 10.2454
Tl Re Cl
2 1 1
direct
0.0000 0.0000 0.0000
0.2410 0.2410 0.2410
0.7425 0.7425 0.7425
0.4550 0.4550 0.4550

***

BaTm2UO8 (PBE, optimized geometry); formation energy from raw total energies = -2993 meV per atom
1.0
5.0654 0.0000 0.0000
0.0000 7.6813 0.0000
-0.0209 0.0000 5.0686
Ba Tm U O
1 2 1 8
direct
0.0000 0.0000 0.0000
0.5000 0.2880 0.5000
0.5000 0.7120 0.5000
0.0000 0.5000 0.0000
0.1885 0.2970 0.1927
0.1885 0.7030 0.1927
0.3032 0.5000 0.7008
0.3972 0.0000 0.6095
0.6028 0.0000 0.3905
0.6968 0.5000 0.2992
0.8115 0.2970 0.8073
0.8115 0.7030 0.8073

***

InPd (PBE, optimized geometry); formation energy = -0.25 eV/atom
1.0
0.0000 2.7437 2.7437
2.7437 0.0000 2.7437
2.7437 2.7437 0.0000
In Pd
1 1
direct
0.0000 0.0000 0.0000
0.5000 0.5000 0.5000

***

# CdCu2PH

An optimized crystal structure of CdCu2PH (PBE, the Alexandria database).

Structure (POSCAR):
```
CdCu2PH
1.0
4.6096 0.0000 0.0000
0.0000 4.6096 0.0000
0.0000 0.0000 3.3173
Cd Cu P H
1 2 1 1
direct
0.0000 0.0000 0.0000
0.0000 0.5000 0.5000
0.5000 0.0000 0.5000
0.5000 0.5000 0.5000
0.5000 0.5000 0.0000
```

***

Cs2SbPbSe4 (PBE, optimized geometry); formation energy from raw total energies = -607 meV per atom
1.0
0.0000 7.6863 12.8405
3.5015 0.0000 12.8405
3.5015 7.6863 0.0000
Cs Sb Pb Se
4 2 2 8
direct
0.0569 0.0569 0.6931
0.3069 0.3069 0.9431
0.6931 0.6931 0.0569
0.9431 0.9431 0.3069
0.3750 0.3750 0.3750
0.6250 0.6250 0.6250
0.1250 0.1250 0.1250
0.8750 0.8750 0.8750
0.0079 0.3568 0.4544
0.3191 0.5456 0.6432
0.3568 0.0079 0.6809
0.4544 0.6809 0.0079
0.5456 0.3191 0.9921
0.6432 0.9921 0.3191
0.6809 0.4544 0.3568
0.9921 0.6432 0.5456

***

Result set for uncorrected energy: -3.433; -2.958; -4.475; -6.661; -2.951; -4.735; -3.531; -4.248; -8.145; -4.221; -3.367; -3.541 eV per atom, one per record in the order listed.